K4WS3O14 after structural relaxation. Source: the Alexandria database, functional GGA-PBEsol.

Cell: 9.4747 14.0590 13.8370 Å, 90.00 132.34 90.00°
Space group P2_1/c (No. 14)
Asymmetric unit:
K: 0.0033 0.1723 0.3298
K: 0.2679 0.0479 0.9736
K: 0.2993 0.0033 0.2984
K: 0.4731 0.7180 0.7243
W: 0.0801 0.6229 0.9156
S: 0.0238 0.1551 0.0470
S: 0.2977 0.5019 0.2082
S: 0.4593 0.7175 0.9796
O: 0.0261 0.6167 0.3802
O: 0.0279 0.1703 0.7361
O: 0.0434 0.7403 0.9896
O: 0.0771 0.6058 0.5778
O: 0.1252 0.5066 0.8981
O: 0.1658 0.0845 0.6298
O: 0.2115 0.5852 0.1170
O: 0.2323 0.1551 0.1273
O: 0.3074 0.5239 0.3152
O: 0.3302 0.7309 0.8383
O: 0.3353 0.6749 0.0091
O: 0.3985 0.1433 0.4742
O: 0.4617 0.1948 0.9447
O: 0.4816 0.0246 0.7517

Raw total energy, eV/f.u.: -145.685
Total magnetization, μB/cell: 0.40
Energy relative to the elements, uncorrected, eV per atom: -1.850
Calculated volume, Å³ per cell: 1362.3



K2ZnS2O8 after structural relaxation. Source: the Alexandria database, functional GGA-PBEsol.

Cell: 5.3458 8.8297 16.7260 Å, 90.00 106.50 90.00°
Space group P2_1/c (No. 14)
Asymmetric unit:
K: 0.0019 0.1444 0.2722
K: 0.2142 0.6749 0.9778
Zn: 0.3821 0.0310 0.1300
S: 0.1824 0.1106 0.9283
S: 0.4126 0.1156 0.6772
O: 0.0948 0.6187 0.6267
O: 0.1754 0.1206 0.0160
O: 0.2395 0.0328 0.6064
O: 0.2975 0.5381 0.4124
O: 0.3094 0.2256 0.1793
O: 0.3166 0.6214 0.8274
O: 0.3318 0.2363 0.9078
O: 0.3972 0.0433 0.7567

Raw total energy, eV/f.u.: -77.008
Total magnetization, μB/cell: 0.01
Energy relative to the elements, uncorrected, eV per atom: -1.723
Calculated volume, Å³ per cell: 757.0



K4Sb2O5 after structural relaxation. Source: the Alexandria database, functional GGA-PBEsol.

Cell: 18.1161 6.3382 7.8402 Å, 90.00 90.00 90.00°
Space group Pnma (No. 62)
Asymmetric unit:
K: 0.0122 0.2500 0.1251
K: 0.0149 0.2500 0.6249
K: 0.1504 0.7500 0.1258
K: 0.1518 0.7500 0.6244
Sb: 0.1680 0.2500 0.3762
Sb: 0.1684 0.2500 0.8736
O: 0.0977 0.0206 0.3752
O: 0.0982 0.0207 0.8752
O: 0.1989 0.2500 0.6248

Raw total energy, eV/f.u.: -56.824
Total magnetization, μB/cell: 0.00
Energy relative to the elements, uncorrected, eV per atom: -1.539
Calculated volume, Å³ per cell: 900.2



K3Sb5O14 after structural relaxation. Source: the Alexandria database, functional GGA-PBEsol.

Cell: 7.1989 24.3926 7.3900 Å, 90.00 90.00 90.00°
Space group Pba2 (No. 32)
Asymmetric unit:
K: 0.1016 0.1164 0.0000
K: 0.1358 0.2060 0.5110
K: 0.2213 0.4845 0.0367
Sb: 0.0818 0.9426 0.5175
Sb: 0.0931 0.5622 0.5180
Sb: 0.1085 0.3546 0.7820
Sb: 0.1089 0.3547 0.2526
Sb: 0.1786 0.7435 0.0175
O: 0.0000 0.0000 0.3374
O: 0.0000 0.0000 0.6969
O: 0.0260 0.3574 0.5171
O: 0.0460 0.5732 0.2601
O: 0.0456 0.5735 0.7754
O: 0.0606 0.2179 0.0187
O: 0.1251 0.6843 0.2011
O: 0.1256 0.6845 0.8329
O: 0.1602 0.8952 0.7137
O: 0.1609 0.4821 0.5166
O: 0.1610 0.8965 0.3178
O: 0.1618 0.0946 0.5190
O: 0.1863 0.3803 0.0171
O: 0.2429 0.7874 0.2449
O: 0.2434 0.7874 0.7910

Raw total energy, eV/f.u.: -134.008
Total magnetization, μB/cell: 0.00
Energy relative to the elements, uncorrected, eV per atom: -1.560
Calculated volume, Å³ per cell: 1297.7



K3SbO4 after structural relaxation. Source: the Alexandria database, functional GGA-PBEsol.

Cell: 6.5284 7.3395 5.6916 Å, 90.00 108.45 90.00°
Space group P2/c (No. 13)
Asymmetric unit:
K: 0.0000 0.1078 0.2500
K: 0.0000 0.3815 0.7500
K: 0.5000 0.3896 0.2500
Sb: 0.5000 0.1142 0.7500
O: 0.2898 0.2981 0.5691
O: 0.3302 0.0884 0.0062

Raw total energy, eV/f.u.: -41.561
Total magnetization, μB/cell: 0.00
Energy relative to the elements, uncorrected, eV per atom: -1.576
Calculated volume, Å³ per cell: 258.7



KSiSbO5 after structural relaxation. Source: the Alexandria database, functional GGA-PBEsol.

Cell: 13.0660 6.5016 10.7029 Å, 90.00 90.00 90.00°
Space group Pna2_1 (No. 33)
Asymmetric unit:
K: 0.1080 0.1987 0.0000
K: 0.1207 0.7732 0.7432
Si: 0.0001 0.3274 0.6913
Si: 0.1818 0.0031 0.4421
Sb: 0.1188 0.4999 0.4416
Sb: 0.2477 0.7530 0.1905
O: 0.0085 0.5289 0.3173
O: 0.0124 0.4886 0.5744
O: 0.0994 0.8220 0.1732
O: 0.1022 0.1831 0.7078
O: 0.1076 0.1993 0.4144
O: 0.1085 0.8049 0.4726
O: 0.2261 0.4803 0.5721
O: 0.2286 0.5318 0.3164
O: 0.2386 0.4573 0.8266
O: 0.2392 0.5401 0.0597

Raw total energy, eV/f.u.: -54.767
Total magnetization, μB/cell: 0.00
Energy relative to the elements, uncorrected, eV per atom: -2.135
Calculated volume, Å³ per cell: 909.2